Entry 1:
# Sr3AsN

A relaxed Sr3AsN crystal (PBE, the Alexandria database).

extended XYZ file:
```
10
Lattice="3.533 -7.545 0.000 3.533 7.545 0.000 0.000 0.000 5.051" Properties=species:S:1:pos:R:3 pbc="T T T"
Sr 1.767 3.773 2.525
Sr 3.533 5.395 0.000
Sr 1.808 0.000 2.525
Sr 1.767 -3.773 2.525
Sr 5.259 0.000 2.525
Sr 3.533 -5.395 0.000
As 3.533 2.196 0.000
As 3.533 -2.196 0.000
N 3.533 5.775 2.525
N 3.533 -5.775 2.525
```

Calculated values
The value obtained for the formation energy from raw total energies is -0.81 eV/atom. The value obtained for the final energy is -4.417 eV/atom. The offset from the most stable computed form comes out at 93.1 meV/atom.



Entry 2:
# Sr3AsN

A relaxed Sr3AsN crystal (PBE, the Alexandria database).

extended XYZ file:
```
10
Lattice="7.107 0.000 0.000 0.000 5.244 0.000 -3.500 0.000 8.430" Properties=species:S:1:pos:R:3 pbc="T T T"
Sr 0.000 0.000 0.000
Sr -2.321 2.622 6.194
Sr -0.284 2.622 2.094
Sr 0.689 0.000 4.307
Sr 1.192 2.622 7.067
Sr 3.892 0.000 2.285
As -0.499 0.000 7.245
As 2.522 2.622 3.876
N -0.797 0.000 2.368
N 3.310 2.622 8.064
```

Calculated values
The value obtained for the formation energy from raw total energies is -0.81 eV/atom. The value obtained for the final energy is -4.410 eV/atom. The offset from the most stable computed form comes out at 100.5 meV/atom.